No. 1
The following is a PBE calculation of crystalline Li2H8Pd3 at its relaxed geometry, from the Alexandria database.

## Properties
Fermi-level density of states = 0.088 states/eV/atom
Uncorrected energy = -3.723 eV per atom

a = 4.9083 Å, b = 5.6779 Å, c = 5.3009 Å
α = 122.38°, β = 109.64°, γ = 90.00°
Element x y z (fractional)
H1 0.9950 0.6191 0.2383
H2 0.3883 0.3283 0.2010
H3 0.3883 0.8727 0.2010
H4 0.6117 0.6717 0.7990
H5 0.0050 0.3809 0.7617
H6 0.6117 0.1273 0.7990
H7 0.9112 0.1104 0.2209
H8 0.0888 0.8896 0.7791
Li1 0.3473 0.3038 0.6075
Li2 0.6527 0.6962 0.3925
Pd1 0.0000 0.2534 0.0000
Pd2 0.0000 0.7466 0.0000
Pd3 0.5000 0.0000 0.0000


No. 2
The following is a PBE calculation of crystalline CeGa2NiPt2 at its relaxed geometry, from the Alexandria database.

## Properties
Formation enthalpy at 0 K = -0.5592 eV/atom
Fermi-level density of states = 1.322 states/eV/atom
Uncorrected energy = -5.534 eV per atom

a = 4.5221 Å, b = 4.5221 Å, c = 5.4565 Å
α = 90.00°, β = 90.00°, γ = 90.00°
Element x y z (fractional)
Pt1 0.5000 0.5000 0.7395
Pt2 0.5000 0.5000 0.2605
Ni1 0.0000 0.0000 0.0000
Ga1 0.5000 0.0000 0.0000
Ga2 0.0000 0.5000 0.0000
Ce1 0.0000 0.0000 0.5000


No. 3
The following is a PBE calculation of crystalline CaZnSn2Bi at its relaxed geometry, from the Alexandria database.

## Properties
Formation enthalpy at 0 K = 0.3763 eV/atom
Fermi-level density of states = 0.632 states/eV/atom
Uncorrected energy = -2.656 eV per atom

a = 5.9902 Å, b = 5.2384 Å, c = 5.9902 Å
α = 90.00°, β = 90.00°, γ = 90.00°
Element x y z (fractional)
Ca1 0.5000 0.5000 0.5000
Sn1 0.0000 0.0000 0.5000
Sn2 0.5000 0.0000 0.0000
Bi1 0.0000 0.0000 0.0000
Zn1 0.0000 0.5000 0.0000


No. 4
The following is a PBE calculation of crystalline PuSbAs2 at its relaxed geometry, from the Alexandria database.

## Properties
Formation energy from raw total energies = -1.71 eV/f.u.
Fermi-level density of states = 2.031 states/eV/atom
Uncorrected energy = -7.366 eV per atom

a = 3.9997 Å, b = 4.6914 Å, c = 4.6914 Å
α = 90.00°, β = 90.00°, γ = 90.00°
Element x y z (fractional)
As1 0.0000 0.0000 0.5000
As2 0.0000 0.5000 0.0000
Pu1 0.5000 0.0000 0.0000
Sb1 0.5000 0.5000 0.5000


No. 5
The following is a PBE calculation of crystalline Ta2TiCl at its relaxed geometry, from the Alexandria database.

## Properties
Formation energy from raw total energies = 2.33 eV/f.u.
Fermi-level density of states = 0.893 states/eV/atom
Uncorrected energy = -7.779 eV per atom

a = 3.8591 Å, b = 3.8591 Å, c = 10.3812 Å
α = 79.29°, β = 79.29°, γ = 90.00°
Element x y z (fractional)
Ti1 0.0000 0.0000 0.0000
Ti2 0.7500 0.2500 0.5000
Ta1 0.6316 0.1250 0.2500
Ta2 0.8750 0.8816 0.7500
Ta3 0.3750 0.3684 0.7500
Ta4 0.1184 0.6250 0.2500
Cl1 0.2500 0.7500 0.5000
Cl2 0.5000 0.5000 0.0000